A relaxed KNa2PbAu crystal. Source: the Alexandria database, functional GGA-PBE.

Geometry as POSCAR:
```
KNa2PbAu
1.0
5.917 0.000 0.000
0.000 5.917 0.000
0.000 0.000 5.623
Pb Na K Au
1 2 1 1
Direct
0.000 0.000 0.000
0.000 0.500 0.000
0.500 0.000 0.000
0.500 0.500 0.500
0.000 0.000 0.500
```

Polymorph energy (0 for the lowest one) (meV per atom): 108
DFT total energy (eV per cell): -10.940
DFT formation energy (eV/atom): -0.044
N(E_F) (states/eV/f.u.): 1.05
Crystal system: tetragonal

A relaxed CuTeAs2 crystal. Source: the Alexandria database, functional GGA-PBE.

Geometry as POSCAR:
```
CuTeAs2
1.0
-4.382 0.281 -4.817
-1.225 -1.655 -6.184
-3.850 -3.523 -3.904
As Cu Te
2 1 1
Direct
0.980 0.980 0.980
0.520 0.520 0.520
0.250 0.250 0.250
0.750 0.750 0.750
```

Energy relative to the elements, uncorrected (eV/atom): 0.14
DFT total energy (eV per cell): -15.977
N(E_F) (states/eV/f.u.): 1.38
Crystal system: trigonal

A relaxed Cr3HgCl crystal. Source: the Alexandria database, functional GGA-PBE.

Geometry as POSCAR:
```
Cr3HgCl
1.0
-1.950 -1.834 -3.221
3.150 -2.739 -0.347
-1.955 -2.584 2.654
Cr Hg Cl
3 1 1
Direct
0.000 0.500 0.000
0.000 0.000 0.500
0.500 0.000 0.000
0.500 0.500 0.500
0.000 0.000 0.000
```

Energy relative to the elements, uncorrected (eV/atom): 0.86
Polymorph energy (0 for the lowest one) (meV per atom): 0
DFT total energy (eV per cell): -26.723
N(E_F) (states/eV/f.u.): 5.51
Crystal system: cubic

A relaxed Cs2ZrHgF6 crystal. Source: the Alexandria database, functional GGA-PBE.

Geometry as POSCAR:
```
Cs2ZrHgF6
1.0
7.168 0.000 0.000
0.000 7.168 0.000
3.584 3.584 5.068
Cs Hg Zr F
2 1 1 6
Direct
0.750 0.250 0.500
0.250 0.750 0.500
0.000 0.000 0.000
0.500 0.500 0.000
0.299 0.299 0.403
0.701 0.701 0.597
0.299 0.299 0.000
0.701 0.701 0.000
0.701 0.299 0.000
0.299 0.701 0.000
```

Energy relative to the elements, uncorrected (eV/atom): -2.98
DFT total energy (eV per cell): -51.557
N(E_F) (states/eV/f.u.): 0.00
Crystal system: cubic

A relaxed Y6ScTl5 crystal. Source: the Alexandria database, functional GGA-PBE.

Geometry as POSCAR:
```
Y6ScTl5
1.0
4.805 0.019 -1.402
-1.189 7.625 -3.971
0.051 -0.187 9.109
Y Sc Tl
6 1 5
Direct
0.831 0.573 0.661
0.831 0.089 0.661
0.500 0.732 0.000
0.500 0.268 0.000
0.169 0.911 0.339
0.169 0.427 0.339
0.000 0.000 0.000
0.646 0.146 0.292
0.326 0.326 0.652
0.000 0.500 0.000
0.674 0.674 0.348
0.354 0.854 0.708
```

DFT total energy (eV per cell): -60.624
DFT formation energy (eV/atom): -0.306
N(E_F) (states/eV/f.u.): 11.51
Crystal system: orthorhombic

A relaxed Ca4LaTe5 crystal. Source: the Alexandria database, functional GGA-PBE.

Geometry as POSCAR:
```
Ca4LaTe5
1.0
-1.424 -4.298 0.188
0.858 -0.477 -4.423
15.223 -2.413 5.535
Ca La Te
4 1 5
Direct
0.399 0.399 0.799
0.799 0.799 0.598
0.201 0.201 0.402
0.601 0.601 0.201
0.000 0.000 0.000
0.101 0.101 0.203
0.500 0.500 0.000
0.899 0.899 0.797
0.300 0.300 0.600
0.700 0.700 0.400
```

Energy relative to the elements, uncorrected (eV/atom): -1.62
DFT total energy (eV per cell): -44.888
N(E_F) (states/eV/f.u.): 2.07
Crystal system: tetragonal

A relaxed ZrSb2TeAs crystal. Source: the Alexandria database, functional GGA-PBE.

Geometry as POSCAR:
```
ZrSb2TeAs
1.0
5.204 0.000 0.000
0.000 5.204 0.000
0.000 0.000 5.386
Sb As Te Zr
2 1 1 1
Direct
0.000 0.500 0.000
0.500 0.000 0.000
0.000 0.000 0.000
0.000 0.000 0.500
0.500 0.500 0.500
```

Energy relative to the elements, uncorrected (eV/atom): 0.62
Polymorph energy (0 for the lowest one) (meV per atom): 128
DFT total energy (eV per cell): -21.460
N(E_F) (states/eV/f.u.): 4.41
Crystal system: tetragonal

A relaxed Ac2SmTlO6 crystal. Source: the Alexandria database, functional GGA-PBE.

Geometry as POSCAR:
```
Ac2SmTlO6
1.0
-0.174 -4.863 -3.598
4.848 -2.487 3.128
-5.613 -3.817 5.665
Ac Sm Tl O
4 2 2 12
Direct
0.017 0.946 0.247
0.517 0.554 0.747
0.983 0.054 0.753
0.483 0.446 0.253
0.500 0.000 0.000
0.000 0.500 0.500
0.500 0.000 0.500
0.000 0.500 0.000
0.300 0.700 0.071
0.800 0.800 0.571
0.700 0.300 0.929
0.200 0.200 0.429
0.306 0.698 0.435
0.806 0.802 0.935
0.694 0.302 0.565
0.194 0.198 0.065
0.872 0.560 0.252
0.372 0.940 0.752
0.128 0.440 0.748
0.628 0.060 0.248
```

Energy relative to the elements, uncorrected (eV/atom): -2.68
DFT total energy (eV per cell): -143.626
N(E_F) (states/eV/f.u.): 0.00
Crystal system: monoclinic

A relaxed La2PmPr5Dy crystal. Source: the Alexandria database, functional GGA-PBE.

Geometry as POSCAR:
```
La2PmPr5Dy
1.0
8.811 0.000 0.000
0.000 8.811 0.000
-4.405 -4.405 8.339
La Pm Pr Dy
4 2 10 2
Direct
0.120 0.380 0.000
0.620 0.120 0.000
0.380 0.880 0.000
0.880 0.620 0.000
0.250 0.250 0.500
0.750 0.750 0.500
0.924 0.424 0.287
0.638 0.138 0.713
0.076 0.576 0.713
0.138 0.076 0.713
0.576 0.638 0.713
0.862 0.924 0.287
0.424 0.362 0.287
0.362 0.862 0.287
0.500 0.500 0.000
0.000 0.000 0.000
0.250 0.750 0.500
0.750 0.250 0.500
```

DFT total energy (eV per cell): -81.826
DFT formation energy (eV/atom): 0.244
N(E_F) (states/eV/f.u.): 14.57
Crystal system: tetragonal

A relaxed Rb8AgAu2O crystal. Source: the Alexandria database, functional GGA-PBE.

Geometry as POSCAR:
```
Rb8AgAu2O
1.0
-0.729 -6.206 -4.905
-3.488 -4.325 5.622
-8.983 3.400 -2.962
Rb Ag Au O
8 1 2 1
Direct
0.162 0.803 0.197
0.728 0.763 0.000
0.838 0.196 0.197
0.838 0.197 0.803
0.272 0.237 0.000
0.162 0.804 0.803
0.650 0.722 0.500
0.350 0.278 0.500
0.000 0.000 0.500
0.500 0.500 0.772
0.500 0.500 0.228
0.000 0.000 0.000
```

Energy relative to the elements, uncorrected (eV/atom): -0.30
DFT total energy (eV per cell): -25.669
N(E_F) (states/eV/f.u.): 5.10
Crystal system: monoclinic

A relaxed Mg4Zn3 crystal. Source: the Alexandria database, functional GGA-PBE.

Geometry as POSCAR:
```
Mg4Zn3
1.0
-8.013 3.683 10.403
-4.817 1.563 12.663
7.544 -0.715 -11.339
Mg Zn
4 3
Direct
0.154 0.154 0.000
0.432 0.432 0.000
0.568 0.568 0.000
0.846 0.846 0.000
0.000 0.000 0.000
0.278 0.278 0.000
0.722 0.722 0.000
```

Polymorph energy (0 for the lowest one) (meV per atom): 34
DFT total energy (eV per cell): -10.427
DFT formation energy (eV/atom): -0.032
N(E_F) (states/eV/f.u.): 1.84
Crystal system: tetragonal

A relaxed ZnHg2I6 crystal. Source: the Alexandria database, functional GGA-PBE.

Geometry as POSCAR:
```
ZnHg2I6
1.0
-4.928 1.135 5.683
-0.800 -9.602 5.542
5.695 4.674 8.323
Zn Hg I
2 4 12
Direct
0.250 0.204 0.796
0.750 0.796 0.204
0.095 0.632 0.800
0.405 0.200 0.368
0.905 0.368 0.200
0.595 0.800 0.632
0.284 0.742 0.584
0.216 0.416 0.258
0.716 0.258 0.416
0.784 0.584 0.742
0.871 0.823 0.399
0.629 0.601 0.177
0.129 0.177 0.601
0.371 0.399 0.823
0.057 0.797 0.013
0.443 0.987 0.203
0.943 0.203 0.987
0.557 0.013 0.797
```

Energy relative to the elements, uncorrected (eV/atom): -0.38
DFT total energy (eV per cell): -29.274
N(E_F) (states/eV/f.u.): 0.00
Crystal system: monoclinic

A relaxed GdHoFeIr crystal. Source: the Alexandria database, functional GGA-PBE.

Geometry as POSCAR:
```
GdHoFeIr
1.0
4.832 0.000 0.000
2.416 4.185 0.000
2.416 1.395 3.946
Gd Ir Ho Fe
1 1 1 1
Direct
0.750 0.750 0.750
0.000 0.000 0.000
0.250 0.250 0.250
0.500 0.500 0.500
```

DFT total energy (eV per cell): -37.185
DFT formation energy (eV/atom): -0.301
N(E_F) (states/eV/f.u.): 6.67
Crystal system: cubic

A relaxed LaTbNd2Sm2 crystal. Source: the Alexandria database, functional GGA-PBE.

Geometry as POSCAR:
```
LaTbNd2Sm2
1.0
3.556 0.000 0.000
0.000 16.733 0.000
0.000 0.000 7.045
La Tb Nd Sm
2 2 4 4
Direct
0.000 0.000 0.000
0.500 0.500 0.500
0.500 0.500 0.000
0.000 0.000 0.500
0.500 0.841 0.252
0.500 0.159 0.748
0.000 0.659 0.752
0.000 0.341 0.248
0.500 0.156 0.251
0.000 0.656 0.249
0.500 0.844 0.749
0.000 0.344 0.751
```

DFT total energy (eV per cell): -55.436
DFT formation energy (eV/atom): 0.136
N(E_F) (states/eV/f.u.): 8.25
Crystal system: orthorhombic

A relaxed PtO crystal. Source: the Alexandria database, functional GGA-PBE.

Geometry as POSCAR:
```
PtO
1.0
8.484 0.000 0.000
0.000 5.079 0.000
0.000 0.000 5.309
Pt O
8 8
Direct
0.635 0.014 0.119
0.135 0.486 0.881
0.365 0.514 0.381
0.865 0.986 0.619
0.253 0.017 0.801
0.753 0.483 0.199
0.747 0.517 0.699
0.247 0.983 0.301
0.411 0.145 0.068
0.911 0.355 0.932
0.589 0.645 0.432
0.089 0.855 0.568
0.341 0.633 0.760
0.841 0.867 0.240
0.659 0.133 0.740
0.159 0.367 0.260
```

Energy relative to the elements, uncorrected (eV/atom): -0.03
DFT total energy (eV per cell): -88.412
N(E_F) (states/eV/f.u.): 0.65
Crystal system: orthorhombic

A relaxed LaSc2Ni crystal. Source: the Alexandria database, functional GGA-PBE.

Geometry as POSCAR:
```
LaSc2Ni
1.0
5.114 -0.099 -0.304
-2.368 5.738 0.030
0.379 1.020 3.131
La Ni Sc
1 1 2
Direct
0.000 0.500 0.500
0.500 0.500 0.000
0.000 0.000 0.000
0.500 0.000 0.500
```

Polymorph energy (0 for the lowest one) (meV per atom): 402
DFT total energy (eV per cell): -22.571
DFT formation energy (eV/atom): 0.200
N(E_F) (states/eV/f.u.): 6.01
Crystal system: monoclinic

A relaxed NaLa3Si crystal. Source: the Alexandria database, functional GGA-PBE.

Geometry as POSCAR:
```
NaLa3Si
1.0
5.857 0.000 0.000
0.000 5.857 0.000
0.000 0.000 5.857
Na Si La
1 1 3
Direct
0.500 0.500 0.500
0.000 0.000 0.000
0.000 0.500 0.000
0.000 0.000 0.500
0.500 0.000 0.000
```

Energy relative to the elements, uncorrected (eV/atom): -0.01
Polymorph energy (0 for the lowest one) (meV per atom): 0
DFT total energy (eV per cell): -21.553
N(E_F) (states/eV/f.u.): 9.20
Crystal system: cubic

A relaxed BiN2F2 crystal. Source: the Alexandria database, functional GGA-PBE.

Geometry as POSCAR:
```
BiN2F2
1.0
3.677 0.000 0.000
0.000 3.677 0.000
0.000 0.000 4.409
N Bi F
2 1 2
Direct
0.000 0.500 0.000
0.500 0.000 0.000
0.500 0.500 0.500
0.000 0.000 0.000
0.000 0.000 0.500
```

Energy relative to the elements, uncorrected (eV/atom): 1.07
Polymorph energy (0 for the lowest one) (meV per atom): 2158
DFT total energy (eV per cell): -18.938
N(E_F) (states/eV/f.u.): 1.32
Crystal system: tetragonal

A relaxed BaLiTlHg crystal. Source: the Alexandria database, functional GGA-PBE.

Geometry as POSCAR:
```
BaLiTlHg
1.0
4.963 0.000 0.000
-2.481 4.294 0.040
0.000 -2.801 5.906
Ba Li Tl Hg
1 1 1 1
Direct
0.617 0.234 0.495
0.110 0.219 0.970
0.824 0.649 0.115
0.415 0.830 0.887
```

Polymorph energy (0 for the lowest one) (meV per atom): 0
DFT total energy (eV per cell): -7.888
DFT formation energy (eV/atom): -0.346
N(E_F) (states/eV/f.u.): 3.18
Crystal system: monoclinic

A relaxed Ac2PaO6 crystal. Source: the Alexandria database, functional GGA-PBE.

Geometry as POSCAR:
```
Ac2PaO6
1.0
3.906 0.000 -1.262
-0.858 5.090 -2.654
0.092 0.334 6.956
Ac Pa O
2 1 6
Direct
0.334 0.334 0.669
0.666 0.666 0.331
0.000 0.000 0.000
0.850 0.084 0.700
0.150 0.384 0.300
0.150 0.916 0.300
0.500 0.217 0.000
0.850 0.616 0.700
0.500 0.783 0.000
```

Energy relative to the elements, uncorrected (eV/atom): -3.32
Polymorph energy (0 for the lowest one) (meV per atom): 0
DFT total energy (eV per cell): -77.300
N(E_F) (states/eV/f.u.): 7.16
Crystal system: orthorhombic